Record 1
## La2Nd6Sm3Ho (GGA-PBE)

Data for a relaxed La2Nd6Sm3Ho crystal.

Cell and atoms, written as POSCAR:
```
La2Nd6Sm3Ho
1.0
6.356 -0.001 0.000
-3.177 5.505 0.000
-1.070 -1.853 11.980
La Nd Sm Ho
2 6 3 1
Direct
0.333 0.667 0.000 La
0.667 0.333 0.000 La
0.916 0.584 0.748 Nd
0.752 0.752 0.252 Nd
0.084 0.416 0.252 Nd
0.584 0.916 0.748 Nd
0.248 0.248 0.748 Nd
0.416 0.084 0.252 Nd
0.166 0.834 0.500 Sm
0.834 0.166 0.500 Sm
0.500 0.500 0.500 Sm
0.000 0.000 0.000 Ho
```

Results
Its space-group type is C2/m.


Record 2
## La3NdSmHo (GGA-PBE)

Data for a relaxed La3NdSmHo crystal.

Cell and atoms, written as POSCAR:
```
La3NdSmHo
1.0
-3.915 -1.643 -3.058
5.379 -3.742 -4.876
-3.969 -6.017 8.315
La Nd Sm Ho
6 2 2 2
Direct
0.250 0.627 0.458 La
0.750 0.872 0.043 La
0.750 0.378 0.206 La
0.750 0.373 0.542 La
0.250 0.622 0.794 La
0.250 0.128 0.957 La
0.750 0.879 0.708 Nd
0.250 0.121 0.292 Nd
0.250 0.126 0.625 Sm
0.750 0.874 0.375 Sm
0.250 0.626 0.125 Ho
0.750 0.374 0.875 Ho
```

Results
Its space-group type is P2_1/m.


Record 3
## La2Nd2SmHo2 (GGA-PBE)

Data for a relaxed La2Nd2SmHo2 crystal.

Cell and atoms, written as POSCAR:
```
La2Nd2SmHo2
1.0
5.155 0.000 0.000
-2.578 5.751 0.282
0.000 -1.546 8.047
La Nd Sm Ho
2 2 1 2
Direct
0.142 0.284 0.426 La
0.858 0.716 0.574 La
0.715 0.430 0.141 Nd
0.285 0.570 0.859 Nd
0.000 0.000 0.000 Sm
0.571 0.142 0.715 Ho
0.429 0.858 0.285 Ho
```

Results
Its space-group type is C2/m.


Record 4
## La5NdSm2Ho (GGA-PBE)

Data for a relaxed La5NdSm2Ho crystal.

Cell and atoms, written as POSCAR:
```
La5NdSm2Ho
1.0
9.225 0.000 0.000
0.000 9.225 0.000
-4.612 -4.612 7.576
La Nd Sm Ho
10 2 4 2
Direct
0.932 0.432 0.278 La
0.654 0.154 0.722 La
0.068 0.568 0.722 La
0.154 0.068 0.722 La
0.568 0.654 0.722 La
0.846 0.932 0.278 La
0.432 0.346 0.278 La
0.346 0.846 0.278 La
0.500 0.500 0.000 La
0.000 0.000 0.000 La
0.250 0.250 0.500 Nd
0.750 0.750 0.500 Nd
0.113 0.387 0.000 Sm
0.613 0.113 0.000 Sm
0.387 0.887 0.000 Sm
0.887 0.613 0.000 Sm
0.250 0.750 0.500 Ho
0.750 0.250 0.500 Ho
```

Results
Its space-group type is I4/mcm.


Record 5
## LaNdSmHo3 (GGA-PBE)

Data for a relaxed LaNdSmHo3 crystal.

Cell and atoms, written as POSCAR:
```
LaNdSmHo3
1.0
-2.167 -5.004 -1.471
7.000 2.321 -7.364
5.023 -3.285 3.774
La Nd Sm Ho
2 2 2 6
Direct
0.354 0.707 0.961 La
0.646 0.293 0.039 La
0.055 0.109 0.260 Nd
0.945 0.891 0.740 Nd
0.649 0.298 0.463 Sm
0.351 0.702 0.537 Sm
0.836 0.671 0.260 Ho
0.779 0.557 0.754 Ho
0.476 0.953 0.256 Ho
0.221 0.443 0.246 Ho
0.524 0.047 0.744 Ho
0.164 0.329 0.740 Ho
```

Results
Its space-group type is C2/m.


Record 6
## La2NdSm6Ho3 (GGA-PBE)

Data for a relaxed La2NdSm6Ho3 crystal.

Cell and atoms, written as POSCAR:
```
La2NdSm6Ho3
1.0
6.290 -0.002 0.007
-3.146 5.447 0.007
-1.065 -1.844 11.839
La Nd Sm Ho
2 1 6 3
Direct
0.333 0.667 0.000 La
0.667 0.333 0.000 La
0.000 0.000 0.000 Nd
0.914 0.581 0.744 Sm
0.753 0.753 0.256 Sm
0.086 0.419 0.256 Sm
0.581 0.914 0.744 Sm
0.247 0.247 0.744 Sm
0.419 0.086 0.256 Sm
0.166 0.834 0.500 Ho
0.834 0.166 0.500 Ho
0.500 0.500 0.500 Ho
```

Results
Its space-group type is C2/m.


Record 7
## LaNd3SmHo (GGA-PBE)

Data for a relaxed LaNd3SmHo crystal.

Cell and atoms, written as POSCAR:
```
LaNd3SmHo
1.0
-5.416 1.694 -1.437
-0.060 -1.266 10.660
1.895 6.621 0.663
La Nd Sm Ho
2 6 2 2
Direct
0.354 0.707 0.976 La
0.646 0.293 0.024 La
0.839 0.678 0.259 Nd
0.781 0.561 0.740 Nd
0.482 0.963 0.253 Nd
0.219 0.439 0.260 Nd
0.518 0.037 0.747 Nd
0.161 0.322 0.741 Nd
0.056 0.112 0.265 Sm
0.944 0.888 0.735 Sm
0.644 0.288 0.474 Ho
0.356 0.712 0.526 Ho
```

Results
Its space-group type is C2/m.


Record 8
## La3Nd2SmHo6 (GGA-PBE)

Data for a relaxed La3Nd2SmHo6 crystal.

Cell and atoms, written as POSCAR:
```
La3Nd2SmHo6
1.0
6.285 -0.001 0.005
-3.142 5.443 0.005
-1.055 -1.827 11.652
La Nd Sm Ho
3 2 1 6
Direct
0.167 0.833 0.500 La
0.833 0.167 0.500 La
0.500 0.500 0.500 La
0.333 0.667 0.000 Nd
0.667 0.333 0.000 Nd
0.000 0.000 0.000 Sm
0.918 0.584 0.752 Ho
0.749 0.749 0.248 Ho
0.082 0.416 0.248 Ho
0.584 0.918 0.752 Ho
0.251 0.251 0.752 Ho
0.416 0.082 0.248 Ho
```

Results
Its space-group type is C2/m.


no.,calculated total energy (eV per atom),DFT formation energy (eV/atom)
1,-4.7500,0.02
2,-4.7830,0.02
3,-4.7288,0.02
4,-4.5519,0.27
5,-4.5076,0.18
6,-4.7015,0.02
7,-4.5871,0.17
8,-4.6949,0.01